P | BaSr8Ca4 | GGA-PBE | optimized geometry

```
data_BaSr8Ca4
_symmetry_space_group_name_H-M 'R -3 m'
_symmetry_Int_Tables_number 166
_symmetry_space_group_name_Hall '-R 3 2"'
_cell_length_a 8.0353
_cell_length_b 8.0353
_cell_length_c 38.2908
_cell_angle_alpha 90.00
_cell_angle_beta 90.00
_cell_angle_gamma 120.00
loop_
_atom_site_label
_atom_site_type_symbol
_atom_site_fract_x
_atom_site_fract_y
_atom_site_fract_z
Ba1 Ba 0.0000 0.0000 0.0000
Sr1 Sr 0.0000 0.0000 0.1890
Sr2 Sr 0.9996 0.4998 0.2454
Ca1 Ca 0.0000 0.0000 0.5000
Ca2 Ca 0.0000 0.5000 0.0000
```

Computed properties:
Its theoretical density is 2.3 g cm⁻³. The value obtained for the density of states at the Fermi level is 17.822 states/eV/f.u.

Q | BaSr8Ca4 | GGA-PBE | optimized geometry

```
data_BaSr8Ca4
_symmetry_space_group_name_H-M 'I 4/m'
_symmetry_Int_Tables_number 87
_symmetry_space_group_name_Hall '-I 4'
_cell_length_a 15.070
_cell_length_b 15.070
_cell_length_c 5.875
_cell_angle_alpha 90.00
_cell_angle_beta 90.00
_cell_angle_gamma 90.00
loop_
_atom_site_label
_atom_site_type_symbol
_atom_site_fract_x
_atom_site_fract_y
_atom_site_fract_z
Ba1 Ba 0.000 0.000 0.000
Sr1 Sr 0.041 0.195 0.500
Sr2 Sr 0.079 0.382 0.000
Ca1 Ca 0.157 0.766 0.000
```

Computed properties:
Its theoretical density is 2.5 g cm⁻³. The value obtained for the density of states at the Fermi level is 15.038 states/eV/f.u.

Most stable = Q